No. 1
# PBE RbCd4, optimized geometry
data_RbCd4
_chemical_formula_sum 'Rb2 Cd8'
_cell_length_a 5.224
_cell_length_b 5.224
_cell_length_c 11.561
_cell_angle_alpha 90.00
_cell_angle_beta 90.00
_cell_angle_gamma 90.00
_space_group_name_H-M_alt 'I 4/m m m'
_space_group_IT_number 139
_space_group_name_Hall '-I 4 2'
loop_
_atom_site_label
_atom_site_type_symbol
_atom_site_fract_x
_atom_site_fract_y
_atom_site_fract_z
_atom_site_occupancy
Rb1 Rb 0.000 0.000 0.000 1
Cd1 Cd 0.000 0.000 0.374 1
Cd2 Cd 0.000 0.500 0.250 1
# * uncorrected energy: -9.8 eV/cell
# * E_form: -0.05 eV per atom
# * M_tot: 0.00 μB per atom
# * DOS(E_F): 0.546 states/eV/atom

***

No. 2
# PBE RbSi3B, optimized geometry
data_RbSi3B
_chemical_formula_sum 'Rb1 Si3 B1'
_cell_length_a 4.571
_cell_length_b 4.571
_cell_length_c 4.571
_cell_angle_alpha 90.00
_cell_angle_beta 90.00
_cell_angle_gamma 90.00
_space_group_name_H-M_alt 'P m -3 m'
_space_group_IT_number 221
_space_group_name_Hall '-P 4 2 3'
loop_
_atom_site_label
_atom_site_type_symbol
_atom_site_fract_x
_atom_site_fract_y
_atom_site_fract_z
_atom_site_occupancy
Rb1 Rb 0.000 0.000 0.000 1
Si1 Si 0.000 0.500 0.500 1
B1 B 0.500 0.500 0.500 1
# * uncorrected energy: -18.9 eV/cell
# * M_tot: 0.00 μB per atom
# * DOS(E_F): 0.408 states/eV/atom
# * uncorrected formation energy: 1010 meV per atom

***

No. 3
# PBE LiSN2F, optimized geometry
data_LiSN2F
_chemical_formula_sum 'Li1 S1 N2 F1'
_cell_length_a 3.533
_cell_length_b 3.533
_cell_length_c 4.788
_cell_angle_alpha 90.00
_cell_angle_beta 90.00
_cell_angle_gamma 90.00
_space_group_name_H-M_alt 'P 4/m m m'
_space_group_IT_number 123
_space_group_name_Hall '-P 4 2'
loop_
_atom_site_label
_atom_site_type_symbol
_atom_site_fract_x
_atom_site_fract_y
_atom_site_fract_z
_atom_site_occupancy
Li1 Li 0.000 0.000 0.000 1
S1 S 0.000 0.000 0.500 1
N1 N 0.000 0.500 0.000 1
F1 F 0.500 0.500 0.500 1
# * uncorrected energy: -15.5 eV/cell
# * M_tot: 0.22 μB per atom
# * DOS(E_F): 0.560 states/eV/atom
# * uncorrected formation energy: 1820 meV per atom

***

No. 4
# PBE PmThAgAu, optimized geometry
data_PmThAgAu
_chemical_formula_sum 'Pm4 Th4 Ag4 Au4'
_cell_length_a 7.438
_cell_length_b 7.438
_cell_length_c 7.438
_cell_angle_alpha 90.00
_cell_angle_beta 90.00
_cell_angle_gamma 90.00
_space_group_name_H-M_alt 'F -4 3 m'
_space_group_IT_number 216
_space_group_name_Hall 'F -4 2 3'
loop_
_atom_site_label
_atom_site_type_symbol
_atom_site_fract_x
_atom_site_fract_y
_atom_site_fract_z
_atom_site_occupancy
Pm1 Pm 0.000 0.000 0.000 1
Th1 Th 0.000 0.000 0.500 1
Ag1 Ag 0.250 0.250 0.750 1
Au1 Au 0.250 0.250 0.250 1
# * uncorrected energy: -79.4 eV/cell
# * E_form: -0.39 eV per atom
# * M_tot: 0.00 μB per atom
# * DOS(E_F): 1.113 states/eV/atom

***

No. 5
# PBE HfHSeBr2, optimized geometry
data_HfHSeBr2
_chemical_formula_sum 'Hf1 H1 Se1 Br2'
_cell_length_a 5.126
_cell_length_b 5.126
_cell_length_c 3.554
_cell_angle_alpha 90.00
_cell_angle_beta 90.00
_cell_angle_gamma 90.00
_space_group_name_H-M_alt 'P 4/m m m'
_space_group_IT_number 123
_space_group_name_Hall '-P 4 2'
loop_
_atom_site_label
_atom_site_type_symbol
_atom_site_fract_x
_atom_site_fract_y
_atom_site_fract_z
_atom_site_occupancy
Hf1 Hf 0.000 0.000 0.000 1
H1 H 0.500 0.500 0.500 1
Se1 Se 0.500 0.500 0.000 1
Br1 Br 0.000 0.500 0.500 1
# * uncorrected energy: -18.8 eV/cell
# * M_tot: 0.00 μB per atom
# * DOS(E_F): 0.649 states/eV/atom

***

No. 6
# PBE Hf2Ti5Al4, optimized geometry
data_Hf2Ti5Al4
_chemical_formula_sum 'Hf2 Ti5 Al4'
_cell_length_a 7.158
_cell_length_b 2.844
_cell_length_c 9.511
_cell_angle_alpha 90.00
_cell_angle_beta 94.69
_cell_angle_gamma 90.00
_space_group_name_H-M_alt 'P 1 2/m 1'
_space_group_IT_number 10
_space_group_name_Hall '-P 2y'
loop_
_atom_site_label
_atom_site_type_symbol
_atom_site_fract_x
_atom_site_fract_y
_atom_site_fract_z
_atom_site_occupancy
Hf1 Hf 0.065 0.000 0.145 1
Ti1 Ti 0.213 0.000 0.673 1
Ti2 Ti 0.436 0.000 0.209 1
Ti3 Ti 0.500 0.000 0.500 1
Al1 Al 0.163 0.500 0.406 1
Al2 Al 0.298 0.500 0.944 1
# * uncorrected energy: -75.8 eV/cell
# * E_form: -0.13 eV per atom
# * M_tot: 0.01 μB per atom
# * DOS(E_F): 1.099 states/eV/atom

***

No. 7
# PBE Ac3Ga3Ag2, optimized geometry
data_Ac3Ga3Ag2
_chemical_formula_sum 'Ac12 Ga12 Ag8'
_cell_length_a 4.783
_cell_length_b 11.353
_cell_length_c 16.264
_cell_angle_alpha 90.00
_cell_angle_beta 90.00
_cell_angle_gamma 90.00
_space_group_name_H-M_alt 'C m c m'
_space_group_IT_number 63
_space_group_name_Hall '-C 2c 2'
loop_
_atom_site_label
_atom_site_type_symbol
_atom_site_fract_x
_atom_site_fract_y
_atom_site_fract_z
_atom_site_occupancy
Ac1 Ac 0.000 0.108 0.250 1
Ac2 Ac 0.000 0.382 0.104 1
Ga1 Ga 0.000 0.096 0.042 1
Ga2 Ga 0.000 0.181 0.750 1
Ag1 Ag 0.000 0.320 0.604 1
# * uncorrected energy: -122.8 eV/cell
# * E_form: -0.45 eV per atom
# * M_tot: 0.00 μB per atom
# * DOS(E_F): 0.873 states/eV/atom

***

No. 8
# PBE Ca2PmTaO6, optimized geometry
data_Ca2PmTaO6
_chemical_formula_sum 'Ca6 Pm3 Ta3 O18'
_cell_length_a 5.7676
_cell_length_b 5.7676
_cell_length_c 14.9233
_cell_angle_alpha 90.00
_cell_angle_beta 90.00
_cell_angle_gamma 120.00
_space_group_name_H-M_alt 'R 3'
_space_group_IT_number 146
_space_group_name_Hall 'R 3'
loop_
_atom_site_label
_atom_site_type_symbol
_atom_site_fract_x
_atom_site_fract_y
_atom_site_fract_z
_atom_site_occupancy
Ca1 Ca 0.0000 0.0000 0.0000 1
Ca2 Ca 0.0000 0.0000 0.4975 1
Pm1 Pm 0.0000 0.0000 0.2226 1
Ta1 Ta 0.0000 0.0000 0.7139 1
O1 O 0.0120 0.3981 0.4456 1
O2 O 0.0725 0.6895 0.2896 1
# * uncorrected energy: -244.9 eV/cell
# * M_tot: 0.00 μB per atom
# * DOS(E_F): 0.000 states/eV/atom
# * uncorrected formation energy: -3129 meV per atom

***

No. 9
# PBE Li2NdGaSe4, optimized geometry
data_Li2NdGaSe4
_chemical_formula_sum 'Li8 Nd4 Ga4 Se16'
_cell_length_a 11.170
_cell_length_b 11.297
_cell_length_c 8.172
_cell_angle_alpha 90.00
_cell_angle_beta 130.30
_cell_angle_gamma 90.00
_space_group_name_H-M_alt 'C 1 2 1'
_space_group_IT_number 5
_space_group_name_Hall 'C 2y'
loop_
_atom_site_label
_atom_site_type_symbol
_atom_site_fract_x
_atom_site_fract_y
_atom_site_fract_z
_atom_site_occupancy
Li1 Li 0.056 0.000 0.345 1
Li2 Li 0.192 0.258 0.161 1
Nd1 Nd 0.240 0.249 0.737 1
Ga1 Ga 0.048 0.563 0.348 1
Se1 Se 0.015 0.222 0.266 1
Se2 Se 0.024 0.777 0.772 1
Se3 Se 0.201 0.495 0.254 1
Se4 Se 0.207 0.521 0.742 1
# * uncorrected energy: -140.1 eV/cell
# * M_tot: 0.00 μB per atom
# * DOS(E_F): 0.000 states/eV/atom
# * uncorrected formation energy: -1182 meV per atom

***

No. 10
# PBE ZrCo5Re, optimized geometry
data_ZrCo5Re
_chemical_formula_sum 'Zr4 Co20 Re4'
_cell_length_a 7.752
_cell_length_b 4.709
_cell_length_c 9.718
_cell_angle_alpha 90.00
_cell_angle_beta 90.00
_cell_angle_gamma 90.00
_space_group_name_H-M_alt 'P n m a'
_space_group_IT_number 62
_space_group_name_Hall '-P 2ac 2n'
loop_
_atom_site_label
_atom_site_type_symbol
_atom_site_fract_x
_atom_site_fract_y
_atom_site_fract_z
_atom_site_occupancy
Zr1 Zr 0.247 0.250 0.059 1
Co1 Co 0.049 0.250 0.584 1
Co2 Co 0.067 0.505 0.805 1
Co3 Co 0.099 0.750 0.020 1
Co4 Co 0.188 0.750 0.257 1
Re1 Re 0.140 0.250 0.351 1
# * uncorrected energy: -229.9 eV/cell
# * E_form: -0.14 eV per atom
# * M_tot: 0.31 μB per atom
# * DOS(E_F): 1.126 states/eV/atom

***

No. 11
# PBE SrAlV2, optimized geometry
data_SrAlV2
_chemical_formula_sum 'Sr4 Al4 V8'
_cell_length_a 4.455
_cell_length_b 4.455
_cell_length_c 19.549
_cell_angle_alpha 90.00
_cell_angle_beta 90.00
_cell_angle_gamma 90.00
_space_group_name_H-M_alt 'I 41/a m d'
_space_group_IT_number 141
loop_
_space_group_symop_operation_xyz
'x,y,z'
'-x,-y,-z'
'-y+1/4,x+3/4,z+1/4'
'y+1/4,-x+3/4,-z+1/4'
'-x+1/2,-y,z+1/2'
'x+1/2,y,-z+1/2'
'y+1/4,-x+1/4,z+3/4'
'-y+1/4,x+1/4,-z+3/4'
'x,-y,-z'
'-x,y,z'
'-y+1/4,-x+1/4,-z+3/4'
'y+1/4,x+1/4,z+3/4'
'-x+1/2,y,-z+1/2'
'x+1/2,-y,z+1/2'
'y+1/4,x+3/4,-z+1/4'
'-y+1/4,-x+3/4,z+1/4'
'x+1/2,y+1/2,z+1/2'
'-x+1/2,-y+1/2,-z+1/2'
'-y+3/4,x+1/4,z+3/4'
'y+3/4,-x+1/4,-z+3/4'
'-x,-y+1/2,z'
'x,y+1/2,-z'
'y+3/4,-x+3/4,z+1/4'
'-y+3/4,x+3/4,-z+1/4'
'x+1/2,-y+1/2,-z+1/2'
'-x+1/2,y+1/2,z+1/2'
'-y+3/4,-x+3/4,-z+1/4'
'y+3/4,x+3/4,z+1/4'
'-x,y+1/2,-z'
'x,-y+1/2,z'
'y+3/4,x+1/4,-z+3/4'
'-y+3/4,-x+1/4,z+3/4'
loop_
_atom_site_label
_atom_site_type_symbol
_atom_site_fract_x
_atom_site_fract_y
_atom_site_fract_z
_atom_site_occupancy
Sr1 Sr 0.000 0.250 0.375 1
Al1 Al 0.000 0.250 0.875 1
V1 V 0.000 0.000 0.000 1
# * uncorrected energy: -82.7 eV/cell
# * E_form: 0.75 eV per atom
# * M_tot: 0.08 μB per atom
# * DOS(E_F): 1.336 states/eV/atom

***

No. 12
# PBE Ce2ErPd9, optimized geometry
data_Ce2ErPd9
_chemical_formula_sum 'Ce2 Er1 Pd9'
_cell_length_a 4.137
_cell_length_b 4.137
_cell_length_c 12.402
_cell_angle_alpha 90.00
_cell_angle_beta 90.00
_cell_angle_gamma 90.00
_space_group_name_H-M_alt 'P 4/m m m'
_space_group_IT_number 123
_space_group_name_Hall '-P 4 2'
loop_
_atom_site_label
_atom_site_type_symbol
_atom_site_fract_x
_atom_site_fract_y
_atom_site_fract_z
_atom_site_occupancy
Ce1 Ce 0.000 0.000 0.170 1
Er1 Er 0.000 0.000 0.500 1
Pd1 Pd 0.000 0.500 0.000 1
Pd2 Pd 0.000 0.500 0.334 1
Pd3 Pd 0.500 0.500 0.167 1
Pd4 Pd 0.500 0.500 0.500 1
# * uncorrected energy: -73.6 eV/cell
# * E_form: -0.87 eV per atom
# * M_tot: 0.05 μB per atom
# * DOS(E_F): 0.625 states/eV/atom